# Na2ZnCoF8 PBE+U relaxed
data_Na2ZnCoF8
_space_group_name_H-M_alt 'P 1 2/m 1'
_space_group_IT_number 10
_cell_length_a 4.932
_cell_length_b 6.574
_cell_length_c 4.969
_cell_angle_alpha 90.00
_cell_angle_beta 93.67
_cell_angle_gamma 90.00
loop_
_space_group_symop_operation_xyz
'x,y,z'
'-x,-y,-z'
'-x,y,-z'
'x,-y,z'
loop_
_atom_site_label
_atom_site_type_symbol
_atom_site_fract_x
_atom_site_fract_y
_atom_site_fract_z
Na1 Na 0.000 0.249 0.000
Zn1 Zn 0.500 0.000 0.500
Co1 Co 0.500 0.500 0.500
F1 F 0.227 0.000 0.221
F2 F 0.242 0.500 0.231
F3 F 0.323 0.295 0.666
# Magnetization, Bohr magnetons per cell: 1.0
# VASP energy, eV/cell: -50.20